# 1
VASP calculation (PBE) on crystalline Na3DyCr2S6 at its relaxed geometry.

Calculated values
The calculation puts the formation energy without anion corrections at -1210 meV per atom. The value obtained for the volume is 235.6 Å³/f.u.

Unit cell a=6.3990 b=11.0885 c=6.9848 alpha=90.00 beta=108.03 gamma=90.00
Space group C2/m (No. 12)
Unique sites:
Na  0.0000  0.0000  0.0000 (multiplicity 2)
Na  0.0000  0.3383  0.0000 (multiplicity 4)
Dy  0.0000  0.5000  0.5000 (multiplicity 2)
Cr  0.0000  0.1672  0.5000 (multiplicity 4)
S  0.2071  0.0000  0.7088 (multiplicity 4)
S  0.2482  0.1818  0.2920 (multiplicity 8)


# 2
VASP calculation (PBE) on crystalline Na3Dy3CrSe8 at its relaxed geometry.

Calculated values
The calculation puts the formation energy without anion corrections at -1384 meV per atom. The value obtained for the volume is 399.8 Å³/f.u.

Unit cell a=13.8941 b=8.0109 c=8.5503 alpha=90.00 beta=122.85 gamma=90.00
Space group C2/m (No. 12)
Unique sites:
Na  0.0000  0.0000  0.0000 (multiplicity 2)
Na  0.2500  0.2500  0.0000 (multiplicity 4)
Dy  0.0000  0.5000  0.5000 (multiplicity 2)
Dy  0.2500  0.2500  0.5000 (multiplicity 4)
Cr  0.0000  0.0000  0.5000 (multiplicity 2)
Se  0.0051  0.2283  0.2870 (multiplicity 8)
Se  0.2233  0.0000  0.7130 (multiplicity 4)
Se  0.2439  0.5000  0.7317 (multiplicity 4)


# 3
VASP calculation (PBE) on crystalline Na3Dy3CrTe8 at its relaxed geometry.

Calculated values
The calculation puts the formation energy without anion corrections at -1027 meV per atom. The value obtained for the volume is 493.4 Å³/f.u.

Unit cell a=14.7658 b=8.5191 c=9.2650 alpha=90.00 beta=122.14 gamma=90.00
Space group C2/m (No. 12)
Unique sites:
Na  0.0000  0.0000  0.0000 (multiplicity 2)
Na  0.2500  0.2500  0.0000 (multiplicity 4)
Dy  0.0000  0.5000  0.5000 (multiplicity 2)
Dy  0.2500  0.2500  0.5000 (multiplicity 4)
Cr  0.0000  0.0000  0.5000 (multiplicity 2)
Te  0.0044  0.2297  0.2838 (multiplicity 8)
Te  0.2253  0.0000  0.7163 (multiplicity 4)
Te  0.2445  0.5000  0.7334 (multiplicity 4)


Which value of volume does entry 2 give?
399.8 Å³/f.u.


The lowest volume belongs to which entry?
Na3DyCr2S6


Copy entry 3 word for word.
VASP calculation (PBE) on crystalline Na3Dy3CrTe8 at its relaxed geometry.

Calculated values
The calculation puts the formation energy without anion corrections at -1027 meV per atom. The value obtained for the volume is 493.4 Å³/f.u.

Unit cell a=14.7658 b=8.5191 c=9.2650 alpha=90.00 beta=122.14 gamma=90.00
Space group C2/m (No. 12)
Unique sites:
Na  0.0000  0.0000  0.0000 (multiplicity 2)
Na  0.2500  0.2500  0.0000 (multiplicity 4)
Dy  0.0000  0.5000  0.5000 (multiplicity 2)
Dy  0.2500  0.2500  0.5000 (multiplicity 4)
Cr  0.0000  0.0000  0.5000 (multiplicity 2)
Te  0.0044  0.2297  0.2838 (multiplicity 8)
Te  0.2253  0.0000  0.7163 (multiplicity 4)
Te  0.2445  0.5000  0.7334 (multiplicity 4)